# InReTe2 (PBE, relaxed)
# Energy relative to the elements, uncorrected = 0.32 eV/atom
data_InReTe2
_chemical_formula_sum 'In2 Re2 Te4'
_cell_length_a 7.223
_cell_length_b 3.945
_cell_length_c 7.909
_cell_angle_alpha 90.00
_cell_angle_beta 105.70
_cell_angle_gamma 90.00
_space_group_name_H-M_alt 'C 1 2/m 1'
_space_group_IT_number 12
loop_
_space_group_symop_operation_xyz
'x,y,z'
'-x,-y,-z'
'-x,y,-z'
'x,-y,z'
'x+1/2,y+1/2,z'
'-x+1/2,-y+1/2,-z'
'-x+1/2,y+1/2,-z'
'x+1/2,-y+1/2,z'
loop_
_atom_site_label
_atom_site_type_symbol
_atom_site_fract_x
_atom_site_fract_y
_atom_site_fract_z
In1 In 0.000 0.000 0.000
Re1 Re 0.000 0.500 0.500
Te1 Te 0.231 0.000 0.687